Record 1
{
  "formula": "Y2NbGa3Ir4",
  "functional": "PBE",
  "state": "relaxed",
  "rho_kg_m3": 11028,
  "volume_a3_per_atom": 18.8,
  "n_ef_per_ev_fu": 7.03,
  "ef_ev_per_atom": -0.679,
  "sg": "P-4m2 (115)",
  "lattice_angstrom": [[4.181, 0.000, 0.000], [0.000, 4.181, 0.000], [0.000, 0.000, 10.757]],
  "species": ["Y", "Y", "Nb", "Ga", "Ga", "Ga", "Ir", "Ir", "Ir", "Ir"],
  "frac_coords": [[0.000, 0.500, 0.227], [0.500, 0.000, 0.773], [0.000, 0.000, 0.500], [0.000, 0.500, 0.873], [0.500, 0.000, 0.127], [0.500, 0.500, 0.500], [0.000, 0.000, 0.000], [0.000, 0.500, 0.641], [0.500, 0.000, 0.359], [0.500, 0.500, 0.000]]
}

Record 2
{
  "formula": "NdGa12Ir7",
  "functional": "PBE",
  "state": "relaxed",
  "rho_kg_m3": 9898,
  "volume_a3_per_atom": 19.5,
  "n_ef_per_ev_fu": 10.96,
  "ef_ev_per_atom": -0.097,
  "sg": "Im-3 (204)",
  "lattice_angstrom": [[-4.604, 4.604, 4.604], [4.604, -4.604, 4.604], [4.604, 4.604, -4.604]],
  "species": ["Nd", "Ga", "Ga", "Ga", "Ga", "Ga", "Ga", "Ga", "Ga", "Ga", "Ga", "Ga", "Ga", "Ir", "Ir", "Ir", "Ir", "Ir", "Ir", "Ir"],
  "frac_coords": [[0.000, 0.000, 0.000], [0.116, 0.337, 0.780], [0.220, 0.557, 0.337], [0.220, 0.884, 0.663], [0.337, 0.220, 0.557], [0.337, 0.780, 0.116], [0.443, 0.663, 0.780], [0.557, 0.337, 0.220], [0.663, 0.220, 0.884], [0.663, 0.780, 0.443], [0.780, 0.116, 0.337], [0.780, 0.443, 0.663], [0.884, 0.663, 0.220], [0.000, 0.000, 0.500], [0.000, 0.500, 0.000], [0.000, 0.500, 0.500], [0.500, 0.000, 0.000], [0.500, 0.000, 0.500], [0.500, 0.500, 0.000], [0.500, 0.500, 0.500]]
}

Record 3
{
  "formula": "Nd3GaIr",
  "functional": "PBE",
  "state": "relaxed",
  "rho_kg_m3": 8701,
  "volume_a3_per_atom": 26.5,
  "n_ef_per_ev_fu": 4.08,
  "ef_ev_per_atom": -0.506,
  "sg": "C2/m (12)",
  "polymorph_energy_ev_per_atom": 0.000,
  "lattice_angstrom": [[4.968, -3.280, 0.000], [4.968, 3.280, 0.000], [-4.464, 0.000, 8.137]],
  "species": ["Nd", "Nd", "Nd", "Nd", "Nd", "Nd", "Ga", "Ga", "Ir", "Ir"],
  "frac_coords": [[0.052, 0.052, 0.276], [0.300, 0.300, 0.692], [0.305, 0.305, 0.116], [0.695, 0.695, 0.884], [0.700, 0.700, 0.308], [0.948, 0.948, 0.724], [0.308, 0.692, 0.500], [0.692, 0.308, 0.500], [0.263, 0.737, 0.000], [0.737, 0.263, 0.000]]
}

Record 4
{
  "formula": "Nd4Ga3Ir",
  "functional": "PBE",
  "state": "relaxed",
  "rho_kg_m3": 7960,
  "volume_a3_per_atom": 25.5,
  "n_ef_per_ev_fu": 7.04,
  "ef_ev_per_atom": -0.613,
  "sg": "Pmm2 (25)",
  "lattice_angstrom": [[4.293, 0.000, 0.000], [0.000, 4.353, 0.000], [0.000, 0.000, 10.921]],
  "species": ["Nd", "Nd", "Nd", "Nd", "Ga", "Ga", "Ga", "Ir"],
  "frac_coords": [[0.000, 0.000, 0.000], [0.000, 0.500, 0.479], [0.500, 0.000, 0.702], [0.500, 0.500, 0.207], [0.000, 0.500, 0.774], [0.500, 0.000, 0.413], [0.500, 0.500, 0.919], [0.000, 0.000, 0.273]]
}

Record 5
{
  "formula": "Nd6GaIr3",
  "functional": "PBE",
  "state": "relaxed",
  "rho_kg_m3": 9020,
  "volume_a3_per_atom": 27.8,
  "n_ef_per_ev_fu": 6.91,
  "ef_ev_per_atom": -0.526,
  "sg": "P2_1/m (11)",
  "lattice_angstrom": [[10.770, 0.000, 0.000], [0.000, 4.513, 0.000], [-4.423, 0.000, 11.453]],
  "species": ["Nd", "Nd", "Nd", "Nd", "Nd", "Nd", "Nd", "Nd", "Nd", "Nd", "Nd", "Nd", "Ga", "Ga", "Ir", "Ir", "Ir", "Ir", "Ir", "Ir"],
  "frac_coords": [[0.027, 0.250, 0.392], [0.089, 0.250, 0.928], [0.237, 0.750, 0.308], [0.335, 0.750, 0.799], [0.372, 0.750, 0.100], [0.383, 0.250, 0.566], [0.617, 0.750, 0.434], [0.628, 0.250, 0.900], [0.665, 0.250, 0.201], [0.763, 0.250, 0.692], [0.911, 0.750, 0.072], [0.973, 0.750, 0.608], [0.423, 0.250, 0.295], [0.577, 0.750, 0.705], [0.094, 0.250, 0.173], [0.195, 0.750, 0.526], [0.388, 0.250, 0.956], [0.612, 0.750, 0.044], [0.805, 0.250, 0.474], [0.906, 0.750, 0.827]]
}

Record 6
{
  "formula": "Nd4Ga2Ir",
  "functional": "PBE",
  "state": "relaxed",
  "rho_kg_m3": 7755,
  "volume_a3_per_atom": 27.8,
  "n_ef_per_ev_fu": 5.61,
  "ef_ev_per_atom": -0.447,
  "sg": "C2/m (12)",
  "lattice_angstrom": [[16.641, 0.000, 0.000], [0.000, 4.284, 0.000], [-1.874, 0.000, 5.459]],
  "species": ["Nd", "Nd", "Nd", "Nd", "Nd", "Nd", "Nd", "Nd", "Ga", "Ga", "Ga", "Ga", "Ir", "Ir"],
  "frac_coords": [[0.098, 0.000, 0.000], [0.125, 0.500, 0.526], [0.375, 0.000, 0.474], [0.402, 0.500, 0.000], [0.598, 0.500, 0.000], [0.625, 0.000, 0.526], [0.875, 0.500, 0.474], [0.902, 0.000, 0.000], [0.236, 0.500, 0.130], [0.264, 0.000, 0.870], [0.736, 0.000, 0.130], [0.764, 0.500, 0.870], [0.000, 0.000, 0.500], [0.500, 0.500, 0.500]]
}

Record 7
{
  "formula": "Nd2Ga8Ir",
  "functional": "PBE",
  "state": "relaxed",
  "rho_kg_m3": 7856,
  "volume_a3_per_atom": 20.0,
  "n_ef_per_ev_fu": 4.55,
  "ef_ev_per_atom": -0.541,
  "sg": "P4/mmm (123)",
  "lattice_angstrom": [[4.386, 0.000, 0.000], [0.000, 4.386, 0.000], [0.000, 0.000, 11.408]],
  "species": ["Nd", "Nd", "Ga", "Ga", "Ga", "Ga", "Ga", "Ga", "Ga", "Ga", "Ir"],
  "frac_coords": [[0.000, 0.000, 0.195], [0.000, 0.000, 0.805], [0.000, 0.500, 0.000], [0.000, 0.500, 0.382], [0.000, 0.500, 0.618], [0.500, 0.000, 0.000], [0.500, 0.000, 0.382], [0.500, 0.000, 0.618], [0.500, 0.500, 0.195], [0.500, 0.500, 0.805], [0.000, 0.000, 0.500]]
}

Record 8
{
  "formula": "NdGa12Ir6",
  "functional": "PBE",
  "state": "relaxed",
  "rho_kg_m3": 10778,
  "volume_a3_per_atom": 17.3,
  "n_ef_per_ev_fu": 6.18,
  "ef_ev_per_atom": -0.436,
  "sg": "R-3m (166)",
  "lattice_angstrom": [[5.748, 3.319, 2.873], [-5.748, 3.319, 2.873], [0.000, -6.637, 2.873]],
  "species": ["Nd", "Ga", "Ga", "Ga", "Ga", "Ga", "Ga", "Ga", "Ga", "Ga", "Ga", "Ga", "Ga", "Ir", "Ir", "Ir", "Ir", "Ir", "Ir"],
  "frac_coords": [[0.000, 0.000, 0.000], [0.116, 0.500, 0.884], [0.116, 0.884, 0.500], [0.127, 0.405, 0.405], [0.405, 0.127, 0.405], [0.405, 0.405, 0.127], [0.500, 0.116, 0.884], [0.500, 0.884, 0.116], [0.595, 0.595, 0.873], [0.595, 0.873, 0.595], [0.873, 0.595, 0.595], [0.884, 0.116, 0.500], [0.884, 0.500, 0.116], [0.274, 0.274, 0.691], [0.274, 0.691, 0.274], [0.309, 0.726, 0.726], [0.691, 0.274, 0.274], [0.726, 0.309, 0.726], [0.726, 0.726, 0.309]]
}

Question: What is the formula in the sixth record?
Answer: Nd4Ga2Ir